[1]
Density functional theory data (PBE) for a geometry-optimized CsBaTeCl structure.

Cell: 4.9527 4.9527 26.1264 Å, 90.00 90.00 120.00°
With the nearest neighbours (Å) after each atom.
Space group R3m (No. 160, hexagonal axes)
Inequivalent atoms, fractional coordinates:
Cs (0.0000, 0.0000, 0.0000) x3  3 Te 3.75, 3 Cl 3.89
Ba (0.0000, 0.0000, 0.1700) x3  3 Cl 3.38, 3 Te 3.40
Te (0.0000, 0.0000, 0.5739) x3  3 Ba 3.40, 3 Cs 3.75
Cl (0.0000, 0.0000, 0.7673) x3  3 Ba 3.38

Values from the calculation:
- crystal system = trigonal
- raw formation energy (eV per atom) = -1.77


[2]
Density functional theory data (PBE) for a geometry-optimized Ac3Bi3N structure.

Cell: 8.2672 12.6325 9.5849 Å, 90.00 103.33 90.00°
With the nearest neighbours (Å) after each atom.
Space group C2/m (No. 12)
Inequivalent atoms, fractional coordinates:
Ac (0.1578, 0.0000, 0.3832) x4  2 N 2.46-2.52
Ac (0.2243, 0.3408, 0.2453) x8  1 N 2.41
Bi (0.0000, 0.1489, 0.0000) x4  2 Bi 3.30, 4 Ac 3.58-3.64
Bi (0.0000, 0.3047, 0.5000) x4  6 Ac 3.42-3.73
Bi (0.1630, 0.5000, 0.9328) x4  3 Bi 3.24-3.30, 2 Ac 3.55
N (0.1524, 0.0000, 0.6391) x4  4 Ac 2.41-2.52

Values from the calculation:
- crystal system = monoclinic
- raw formation energy (eV per atom) = -0.93


[3]
Density functional theory data (PBE) for a geometry-optimized ReRu2Cl structure.

Cell: 5.8343 5.8343 9.5782 Å, 90.00 90.00 90.00°
With the nearest neighbours (Å) after each atom.
Space group I-42d (No. 122)
Inequivalent atoms, fractional coordinates:
Re (0.0000, 0.0000, 0.0000) x4  4 Ru 2.37
Ru (0.2456, 0.2500, 0.1250) x8  2 Re 2.37, 2 Cl 2.40
Cl (0.0000, 0.0000, 0.5000) x4  4 Ru 2.40

Values from the calculation:
- crystal system = tetragonal
- raw formation energy (eV per atom) = 0.91


[4]
Density functional theory data (PBE) for a geometry-optimized Tb3NdHo7 structure.

Cell: 7.0373 7.0373 8.5968 Å, 90.00 90.00 120.00°
With the nearest neighbours (Å) after each atom.
Space group P3m1 (No. 156)
Inequivalent atoms, fractional coordinates:
Tb (0.1672, 0.3344, 0.0000) x3  5 Ho 3.50-3.53, 4 Tb 3.51-3.53, 1 Nd 3.55
Nd (0.0000, 0.0000, 0.6618) x1  9 Ho 3.48-3.52, 3 Tb 3.55
Ho (0.0023, 0.5012, 0.6632) x3  7 Ho 3.47-3.54, 2 Nd 3.52, 2 Tb 3.53
Ho (0.3316, 0.1658, 0.3323) x3  1 Nd 3.48, 8 Ho 3.50-3.54, 2 Tb 3.50
Ho (0.3333, 0.6667, 0.3349) x1  9 Ho 3.47-3.52, 3 Tb 3.52

Values from the calculation:
- crystal system = trigonal
- energy of formation from the pure elements (eV per atom) = 0.193


[5]
Density functional theory data (PBE) for a geometry-optimized BeH4NF3 structure.

Cell: 5.8147 4.6403 14.3313 Å, 90.00 113.04 90.00°
With the nearest neighbours (Å) after each atom.
Space group P2_1/c (No. 14)
Inequivalent atoms, fractional coordinates:
Be (0.0176, 0.1880, 0.3163) x4  4 F 1.52-1.61
H (0.3274, 0.0428, 0.1247) x4  1 N 1.04
H (0.3304, 0.0876, 0.6249) x4  1 N 1.04
H (0.3377, 0.2258, 0.0231) x4  1 N 1.05
H (0.4132, 0.7225, 0.3658) x4  1 N 1.03
N (0.3949, 0.2265, 0.1022) x4  4 H 1.03-1.05
F (0.0364, 0.6435, 0.7879) x4  2 Be 1.60-1.61
F (0.2117, 0.7226, 0.1555) x4  1 Be 1.54, 1 H 1.73
F (0.2633, 0.2213, 0.8995) x4  1 Be 1.52, 1 H 1.65

Values from the calculation:
- crystal system = monoclinic


[6]
Density functional theory data (PBE) for a geometry-optimized KTiBi2 structure.

Cell: 4.2288 4.2288 25.2012 Å, 90.00 90.00 120.00°
With the nearest neighbours (Å) after each atom.
Space group R-3m (No. 166, hexagonal axes)
Inequivalent atoms, fractional coordinates:
K (0.0000, 0.0000, 0.0000) x3  6 Bi 3.60
Ti (0.0000, 0.0000, 0.5000) x3  6 Bi 2.89
Bi (0.0000, 0.0000, 0.2281) x6  3 Ti 2.89

Values from the calculation:
- crystal system = trigonal
- energy of formation from the pure elements (eV per atom) = -0.131


Number 1: uncorrected energy -3.7089 eV/atom. Number 2: uncorrected energy -5.5472 eV/atom. Number 3: uncorrected energy -7.2968 eV/atom. Number 4: uncorrected energy -4.4167 eV/atom. Number 5: uncorrected energy -5.2061 eV/atom. Number 6: uncorrected energy -4.3200 eV/atom.